[1]
## Pm2In3Hg2 (GGA-PBE)

Data for crystalline Pm2In3Hg2 at its relaxed geometry.

extended XYZ file:
```
7
Lattice="-1.9801 4.0707 1.1896 -3.9787 -3.8172 -2.7681 -0.8239 -2.3283 6.5957" Properties=species:S:1:pos:R:3 pbc="T T T"
Pm -2.3337 0.9137 2.1962
Pm -4.4490 -2.9885 2.8209
In -3.0618 -1.3831 -0.3635
In 0.0000 0.0000 0.0000
In -3.7208 -0.6916 5.3806
Hg -1.6334 -1.8637 3.6586
Hg -5.1493 -0.2110 1.3586
```

Results
* total DFT energy (no corrections): -2.995 eV/atom

=====

[2]
## TbNd2P2N6 (GGA-PBE)

Data for crystalline TbNd2P2N6 at its relaxed geometry.

extended XYZ file:
```
11
Lattice="-5.7332 -0.4542 0.0717 2.8294 -0.0884 -5.0068 0.4824 -6.0294 0.3790" Properties=species:S:1:pos:R:3 pbc="T T T"
Tb 0.0000 0.0000 0.0000
Nd -2.5646 -4.2620 -1.3741
Nd 0.1432 -2.3099 -3.1820
P 0.3713 -5.1619 -3.0027
P -2.7928 -1.4101 -1.5534
N 0.9369 -4.6676 -1.5695
N -1.2156 -4.9442 -3.2314
N 1.3075 -4.8079 -4.2741
N -3.3583 -1.9044 -2.9865
N -1.2058 -1.6277 -1.3246
N -3.7289 -1.7640 -0.2820
```

Results
* E_form (uncorrected): -9.7 eV per formula unit